Record 1
A relaxed structure of Zr2CuHg2S6, computed with GGA-PBE.

Lattice parameters (Å, degrees): 6.577 6.577 7.304 98.99 98.99 122.44
Fractional coordinates of all 11 atoms:
1 S 0.441 0.076 0.724
2 Hg 0.166 0.834 0.000
3 S 0.232 0.232 0.319
4 S 0.076 0.441 0.724
5 Cu 0.000 0.000 0.500
6 Zr 0.334 0.666 0.500
7 Zr 0.666 0.334 0.500
8 S 0.559 0.924 0.276
9 S 0.924 0.559 0.276
10 Hg 0.834 0.166 0.000
11 S 0.768 0.768 0.681

- Uncorrected formation energy: -8.0 eV per formula unit
- Uncorrected energy: -4.964 eV per atom
- Crystal system: monoclinic
- Space-group type: C2/m, No. 12

Record 2
A relaxed structure of ZrCuHgS3, computed with GGA-PBE.

Lattice parameters (Å, degrees): 3.709 11.061 8.028 118.67 90.00 90.00
Fractional coordinates of all 12 atoms:
1 S 0.750 0.536 0.210
2 S 0.750 0.790 0.049
3 S 0.250 0.847 0.491
4 S 0.250 0.464 0.790
5 Cu 0.750 0.916 0.375
6 S 0.750 0.153 0.509
7 Zr 0.250 0.669 0.135
8 Cu 0.250 0.084 0.625
9 Zr 0.750 0.331 0.865
10 Hg 0.250 0.288 0.341
11 S 0.250 0.210 0.951
12 Hg 0.750 0.712 0.659

- Uncorrected formation energy: -4.6 eV per formula unit
- Uncorrected energy: -4.994 eV per atom
- Crystal system: monoclinic
- Space-group type: P2_1/m, No. 11

Record 3
A relaxed structure of ZrCu2HgS4, computed with GGA-PBE.

Lattice parameters (Å, degrees): 5.610 5.610 6.822 114.28 114.28 90.02
Fractional coordinates of all 8 atoms:
1 S 0.599 0.599 0.720
2 Cu 0.750 0.250 0.500
3 S 0.401 0.879 0.280
4 S 0.121 0.121 0.720
5 Cu 0.250 0.750 0.500
6 S 0.879 0.401 0.280
7 Zr 0.500 0.500 0.000
8 Hg 0.000 0.000 0.000

- Uncorrected formation energy: -4.9 eV per formula unit
- Uncorrected energy: -4.808 eV per atom
- Crystal system: tetragonal
- Space-group type: I-42m, No. 121

Record 4
A relaxed structure of CuHgSb, computed with GGA-PBE.

Lattice parameters (Å, degrees): 4.424 4.736 7.025 100.43 90.03 90.04
Fractional coordinates of all 6 atoms:
1 Hg 0.137 0.500 0.987
2 Sb 0.134 0.907 0.401
3 Cu 0.134 0.455 0.583
4 Cu 0.634 0.194 0.526
5 Sb 0.635 0.741 0.708
6 Hg 0.636 0.150 0.122

- Uncorrected formation energy: 0.2 eV per formula unit
- Uncorrected energy: -2.767 eV per atom
- Crystal system: triclinic
- Space-group type: P1, No. 1

Calculated total magnetization (μB per atom), listed in the same order as above: 0.000 0.000 0.000 0.000
Calculated calculated density (g/cm³), listed in the same order as above: 5.53 5.19 5.20 8.85